! BaNi2Ir2 PBE relaxed; values from VASP
! raw total energy	-5.967	eV/atom
! ρ	11.36	g/cm3
&SYSTEM
  ibrav = 0, nat = 5, ntyp = 3
/
ATOMIC_SPECIES
Ir 192.22 Ir.upf
Ni 58.69 Ni.upf
Ba 137.33 Ba.upf
ATOMIC_POSITIONS crystal
Ir 0.6238 0.6238 0.2477
Ir 0.3762 0.3762 0.7523
Ni 0.7500 0.2500 0.5000
Ni 0.2500 0.7500 0.5000
Ba 0.0000 0.0000 0.0000
CELL_PARAMETERS angstrom
-1.4151 2.8400 -2.9519
-1.7057 2.4310 3.1564
5.8365 -0.1181 0.2697



! Dy2Ag PBE relaxed; values from VASP
! ρ	8.67	g/cm3
! energy of formation from the pure elements	0.453	eV/atom
&SYSTEM
  ibrav = 0, nat = 6, ntyp = 2
/
ATOMIC_SPECIES
Dy 162.50 Dy.upf
Ag 107.87 Ag.upf
ATOMIC_POSITIONS crystal
Dy 0.1250 0.6250 0.6250
Dy 0.6250 0.1250 0.6250
Dy 0.6250 0.6250 0.6250
Dy 0.6250 0.6250 0.1250
Ag 0.0000 0.0000 0.0000
Ag 0.2500 0.2500 0.2500
CELL_PARAMETERS angstrom
0.0000 4.3609 4.3609
4.3609 0.0000 4.3609
4.3609 4.3609 0.0000



! PuClF2 PBE relaxed; values from VASP
! raw total energy	-8.011	eV/atom
! ρ	7.82	g/cm3
&SYSTEM
  ibrav = 0, nat = 8, ntyp = 3
/
ATOMIC_SPECIES
Cl 35.45 Cl.upf
F 19.00 F.upf
Pu 244.00 Pu.upf
ATOMIC_POSITIONS crystal
Cl 0.0525 0.9475 0.2500
Cl 0.9475 0.0525 0.7500
F 0.3267 0.6733 0.4363
F 0.6733 0.3267 0.5637
F 0.3267 0.6733 0.0637
F 0.6733 0.3267 0.9363
Pu 0.2271 0.7729 0.7500
Pu 0.7729 0.2271 0.2500
CELL_PARAMETERS angstrom
1.9429 -4.9215 0.0000
1.9429 4.9215 0.0000
0.0000 0.0000 7.0459



! NpPaGa PBE relaxed; values from VASP
! raw total energy	-7.934	eV/atom
! ρ	12.37	g/cm3
&SYSTEM
  ibrav = 0, nat = 3, ntyp = 3
/
ATOMIC_SPECIES
Ga 69.72 Ga.upf
Np 237.00 Np.upf
Pa 231.04 Pa.upf
ATOMIC_POSITIONS crystal
Ga 0.0000 0.0000 0.0000
Np 0.2500 0.2500 0.2500
Pa 0.7500 0.7500 0.7500
CELL_PARAMETERS angstrom
2.6313 3.1463 2.2414
-1.2745 1.5236 4.2310
2.4485 -1.2653 3.7750



! Sr2HfNi PBE relaxed; values from VASP
! raw total energy	-3.960	eV/atom
! ρ	6.58	g/cm3
&SYSTEM
  ibrav = 0, nat = 4, ntyp = 3
/
ATOMIC_SPECIES
Ni 58.69 Ni.upf
Hf 178.49 Hf.upf
Sr 87.62 Sr.upf
ATOMIC_POSITIONS crystal
Ni 0.0000 0.0000 0.0000
Hf 0.2500 0.2500 0.2500
Sr 0.7500 0.7500 0.7500
Sr 0.5000 0.5000 0.5000
CELL_PARAMETERS angstrom
-3.6914 -1.9812 3.2153
-2.1716 -4.6979 -1.0508
1.1140 -4.1654 3.0494



! Hg2Pt17 PBE relaxed; values from VASP
! ρ	18.88	g/cm3
! energy of formation from the pure elements	0.148	eV/atom
&SYSTEM
  ibrav = 0, nat = 19, ntyp = 2
/
ATOMIC_SPECIES
Hg 200.59 Hg.upf
Pt 195.08 Pt.upf
ATOMIC_POSITIONS crystal
Hg 0.8465 0.8465 0.1540
Hg 0.1535 0.1535 0.8460
Pt 0.5014 0.8151 0.8156
Pt 0.6068 0.6068 0.3938
Pt 0.1552 0.6625 0.8448
Pt 0.5000 0.5000 0.0000
Pt 0.6625 0.1552 0.8448
Pt 0.8469 0.8469 0.6604
Pt 0.4986 0.1849 0.1844
Pt 0.8106 0.1894 0.5000
Pt 0.0000 0.5000 0.5000
Pt 0.5000 0.0000 0.5000
Pt 0.1531 0.1531 0.3396
Pt 0.1894 0.8106 0.5000
Pt 0.3375 0.8448 0.1552
Pt 0.8151 0.5014 0.8156
Pt 0.3932 0.3932 0.6062
Pt 0.8448 0.3375 0.1552
Pt 0.1849 0.4986 0.1844
CELL_PARAMETERS angstrom
2.1777 1.2377 -6.4764
-5.9316 -1.5437 -3.2636
-1.5723 6.5482 1.7004



! Hg2Te2O7 PBE relaxed; values from VASP
! raw total energy	-4.496	eV/atom
! ρ	8.45	g/cm3
&SYSTEM
  ibrav = 0, nat = 88, ntyp = 3
/
ATOMIC_SPECIES
O 16.00 O.upf
Hg 200.59 Hg.upf
Te 127.60 Te.upf
ATOMIC_POSITIONS crystal
O 0.9572 0.8775 0.2082
O 0.4572 0.7082 0.3775
O 0.5428 0.3775 0.7082
O 0.2825 0.3703 0.9257
O 0.2046 0.0831 0.9361
O 0.0061 0.5050 0.0606
O 0.0428 0.2082 0.8775
O 0.7046 0.4361 0.5831
O 0.0555 0.6206 0.7896
O 0.6939 0.1549 0.5019
O 0.8068 0.1186 0.0566
O 0.5061 0.5606 0.0050
O 0.7954 0.9361 0.0831
O 0.7299 0.6356 0.1940
O 0.5520 0.8685 0.1806
O 0.2756 0.8356 0.9897
O 0.2954 0.5831 0.4361
O 0.3032 0.8661 0.7985
O 0.7244 0.9897 0.8356
O 0.7825 0.4257 0.8703
O 0.3180 0.0466 0.4079
O 0.4480 0.1806 0.8685
O 0.8032 0.2985 0.3661
O 0.6820 0.4079 0.0466
O 0.8180 0.9079 0.5466
O 0.2701 0.1940 0.6356
O 0.2244 0.3356 0.4897
O 0.0520 0.6806 0.3685
O 0.4560 0.6136 0.8109
O 0.6932 0.6186 0.5566
O 0.3061 0.5019 0.1549
O 0.7701 0.1356 0.6940
O 0.2175 0.8703 0.4257
O 0.7756 0.4897 0.3356
O 0.3068 0.5566 0.6186
O 0.9445 0.7896 0.6206
O 0.9939 0.0606 0.5050
O 0.8061 0.6549 0.0019
O 0.5000 0.0049 0.0049
O 0.5440 0.8109 0.6136
O 0.0440 0.1136 0.3109
O 0.2299 0.6940 0.1356
O 0.0000 0.5049 0.5049
O 0.1939 0.0019 0.6549
O 0.5000 0.4087 0.4087
O 0.1968 0.3661 0.2985
O 0.9560 0.3109 0.1136
O 0.6968 0.7985 0.8661
O 0.9480 0.3685 0.6806
O 0.4445 0.1206 0.2896
O 0.7175 0.9257 0.3703
O 0.0000 0.9087 0.9087
O 0.4939 0.0050 0.5606
O 0.1932 0.0566 0.1186
O 0.5555 0.2896 0.1206
O 0.1820 0.5466 0.9079
Hg 0.9556 0.0054 0.7487
Hg 0.0444 0.7487 0.0054
Hg 0.5000 0.7150 0.7150
Hg 0.4536 0.9899 0.7467
Hg 0.9536 0.2467 0.4899
Hg 0.4756 0.7776 0.2673
Hg 0.5444 0.5054 0.2487
Hg 0.0464 0.4899 0.2467
Hg 0.0000 0.7083 0.7083
Hg 0.5244 0.2673 0.7776
Hg 0.0244 0.2776 0.7673
Hg 0.5464 0.7467 0.9899
Hg 0.9756 0.7673 0.2776
Hg 0.5000 0.2083 0.2083
Hg 0.4556 0.2487 0.5054
Hg 0.0000 0.2150 0.2150
Te 0.7410 0.0356 0.5339
Te 0.7590 0.5356 0.0339
Te 0.7489 0.4755 0.7483
Te 0.2511 0.7483 0.4755
Te 0.7552 0.2471 0.0143
Te 0.7498 0.4569 0.4564
Te 0.2502 0.4564 0.4569
Te 0.2410 0.0339 0.5356
Te 0.7511 0.9755 0.2483
Te 0.2590 0.5339 0.0356
Te 0.2552 0.5143 0.7471
Te 0.7448 0.7471 0.5143
Te 0.7502 0.9569 0.9564
Te 0.2489 0.2483 0.9755
Te 0.2498 0.9564 0.9569
Te 0.2448 0.0143 0.2471
CELL_PARAMETERS angstrom
7.4675 0.0000 0.0000
0.0000 11.9534 6.7697
0.0000 -11.9534 6.7697



! InBPd PBE relaxed; values from VASP
! raw total energy	-4.539	eV/atom
! ρ	8.49	g/cm3
&SYSTEM
  ibrav = 0, nat = 3, ntyp = 3
/
ATOMIC_SPECIES
Pd 106.42 Pd.upf
B 10.81 B.upf
In 114.82 In.upf
ATOMIC_POSITIONS crystal
Pd 0.7500 0.7500 0.7500
B 0.0000 0.0000 0.0000
In 0.2500 0.2500 0.2500
CELL_PARAMETERS angstrom
0.0000 2.8311 2.8311
2.8311 0.0000 2.8311
2.8311 2.8311 0.0000



! Cu7Ag3 PBE relaxed; values from VASP
! ρ	9.29	g/cm3
! energy of formation from the pure elements	0.084	eV/atom
&SYSTEM
  ibrav = 0, nat = 10, ntyp = 2
/
ATOMIC_SPECIES
Cu 63.55 Cu.upf
Ag 107.87 Ag.upf
ATOMIC_POSITIONS crystal
Cu 0.9125 0.5920 0.2047
Cu 0.3159 0.6783 0.3915
Cu 0.5000 0.5000 0.0000
Cu 0.7000 0.7804 0.5908
Cu 0.3000 0.2196 0.4092
Cu 0.0875 0.4080 0.7953
Cu 0.6841 0.3217 0.6085
Ag 0.5000 0.0000 0.0000
Ag 0.8973 0.1044 0.2225
Ag 0.1027 0.8956 0.7775
CELL_PARAMETERS angstrom
-1.6145 -2.6314 -3.5182
-2.0861 -4.5456 2.1822
-5.8143 1.0201 -0.0390



! ErPuIn PBE relaxed; values from VASP
! raw total energy	-7.018	eV/atom
! ρ	8.81	g/cm3
&SYSTEM
  ibrav = 0, nat = 3, ntyp = 3
/
ATOMIC_SPECIES
In 114.82 In.upf
Pu 244.00 Pu.upf
Er 167.26 Er.upf
ATOMIC_POSITIONS crystal
In 0.0000 0.0000 0.0000
Pu 0.7500 0.7500 0.7500
Er 0.2500 0.2500 0.2500
CELL_PARAMETERS angstrom
0.0000 3.6737 3.6737
3.6737 0.0000 3.6737
3.6737 3.6737 0.0000



! YCu2Ni PBE relaxed; values from VASP
! ρ	7.31	g/cm3
! energy of formation from the pure elements	-0.103	eV/atom
&SYSTEM
  ibrav = 0, nat = 4, ntyp = 3
/
ATOMIC_SPECIES
Y 88.91 Y.upf
Ni 58.69 Ni.upf
Cu 63.55 Cu.upf
ATOMIC_POSITIONS crystal
Y 0.5000 0.5000 0.5000
Ni 0.7500 0.7500 0.7500
Cu 0.0000 0.0000 0.0000
Cu 0.2500 0.2500 0.2500
CELL_PARAMETERS angstrom
-2.2724 -3.8224 -0.2335
-3.2708 -0.8268 2.9064
-4.2407 0.0103 -1.3583



! Zr2In2NiAg2Pd PBE relaxed; values from VASP
! raw total energy	-5.202	eV/atom
! ρ	8.95	g/cm3
&SYSTEM
  ibrav = 0, nat = 8, ntyp = 5
/
ATOMIC_SPECIES
In 114.82 In.upf
Zr 91.22 Zr.upf
Pd 106.42 Pd.upf
Ag 107.87 Ag.upf
Ni 58.69 Ni.upf
ATOMIC_POSITIONS crystal
In 0.0000 0.5000 0.7450
In 0.5000 0.0000 0.2550
Zr 0.5000 0.0000 0.7410
Zr 0.0000 0.5000 0.2590
Pd 0.5000 0.5000 0.0000
Ag 0.5000 0.5000 0.5000
Ag 0.0000 0.0000 0.0000
Ni 0.0000 0.0000 0.5000
CELL_PARAMETERS angstrom
-0.5106 -4.4293 -1.4300
4.5345 -0.1489 -1.1579
1.5043 -2.1653 6.1696



! La2TbSn4Pb3 PBE relaxed; values from VASP
! raw total energy	-4.687	eV/atom
! ρ	8.83	g/cm3
&SYSTEM
  ibrav = 0, nat = 10, ntyp = 4
/
ATOMIC_SPECIES
Sn 118.71 Sn.upf
Tb 158.93 Tb.upf
Pb 207.20 Pb.upf
La 138.91 La.upf
ATOMIC_POSITIONS crystal
Sn 0.4075 0.5925 0.0000
Sn 0.0933 0.9067 0.5000
Sn 0.9067 0.0933 0.5000
Sn 0.5925 0.4075 0.0000
Tb 0.0000 0.0000 0.0000
Pb 0.5000 0.5000 0.5000
Pb 0.7073 0.2927 0.5000
Pb 0.2927 0.7073 0.5000
La 0.8170 0.1830 0.0000
La 0.1830 0.8170 0.0000
CELL_PARAMETERS angstrom
2.3332 -13.0523 0.0000
2.3332 13.0523 0.0000
0.0000 0.0000 4.7312



! SiNi6Sn2 PBE relaxed; values from VASP
! raw total energy	-5.490	eV/atom
! ρ	8.57	g/cm3
&SYSTEM
  ibrav = 0, nat = 9, ntyp = 3
/
ATOMIC_SPECIES
Ni 58.69 Ni.upf
Si 28.09 Si.upf
Sn 118.71 Sn.upf
ATOMIC_POSITIONS crystal
Ni 0.0000 0.2482 0.5000
Ni 0.0000 0.6414 0.0000
Ni 0.3586 0.3586 0.0000
Ni 0.7518 0.7518 0.5000
Ni 0.6414 0.0000 0.0000
Ni 0.2482 0.0000 0.5000
Si 0.0000 0.0000 0.0000
Sn 0.6667 0.3333 0.5000
Sn 0.3333 0.6667 0.5000
CELL_PARAMETERS angstrom
-3.9306 -5.2968 -0.8833
5.7259 -0.6245 3.3331
-1.4807 0.6542 2.6662



! Al2Ni PBE relaxed; values from VASP
! raw total energy	-4.656	eV/atom
! ρ	4.61	g/cm3
&SYSTEM
  ibrav = 0, nat = 30, ntyp = 2
/
ATOMIC_SPECIES
Al 26.98 Al.upf
Ni 58.69 Ni.upf
ATOMIC_POSITIONS crystal
Al 0.0623 0.7215 0.0000
Al 0.1785 0.1785 0.7504
Al 0.1047 0.8953 0.5000
Al 0.1785 0.1785 0.2496
Al 0.8953 0.1047 0.5000
Al 0.6785 0.3215 0.2504
Al 0.3215 0.6785 0.2504
Al 0.2785 0.9377 0.0000
Al 0.7785 0.5623 0.5000
Al 0.2215 0.4377 0.5000
Al 0.9377 0.2785 0.0000
Al 0.7215 0.0623 0.0000
Al 0.4377 0.2215 0.5000
Al 0.3215 0.6785 0.7496
Al 0.8215 0.8215 0.7504
Al 0.5623 0.7785 0.5000
Al 0.6047 0.6047 0.0000
Al 0.3953 0.3953 0.0000
Al 0.8215 0.8215 0.2496
Al 0.6785 0.3215 0.7496
Ni 0.5401 0.8600 0.0000
Ni 0.9599 0.3600 0.5000
Ni 0.8600 0.5401 0.0000
Ni 0.3600 0.9599 0.5000
Ni 0.0000 0.0000 0.0000
Ni 0.0401 0.6400 0.5000
Ni 0.5000 0.5000 0.5000
Ni 0.4599 0.1400 0.0000
Ni 0.1400 0.4599 0.0000
Ni 0.6400 0.0401 0.5000
CELL_PARAMETERS angstrom
-7.8762 4.3343 0.6148
-1.2527 -1.0188 -8.8652
-2.3268 -4.3457 0.8282



! Co6P4H PBE relaxed; values from VASP
! raw total energy	-6.467	eV/atom
! ρ	6.65	g/cm3
&SYSTEM
  ibrav = 0, nat = 11, ntyp = 3
/
ATOMIC_SPECIES
P 30.97 P.upf
Co 58.93 Co.upf
H 1.01 H.upf
ATOMIC_POSITIONS crystal
P 0.0000 0.6667 0.6667
P 0.5000 0.1820 0.6360
P 0.5000 0.6360 0.1820
P 0.5000 0.1820 0.1820
Co 0.0000 0.0725 0.4638
Co 0.0000 0.4638 0.4638
Co 0.5000 0.8033 0.3933
Co 0.5000 0.8033 0.8033
Co 0.5000 0.3933 0.8033
Co 0.0000 0.4638 0.0725
H 0.0000 0.0000 0.0000
CELL_PARAMETERS angstrom
-1.2891 -1.7278 -2.3847
-0.1187 -5.2735 3.8851
-5.2561 -1.2105 3.7183



! AcZrAsO PBE relaxed; values from VASP
! raw total energy	-6.741	eV/atom
! ρ	7.16	g/cm3
&SYSTEM
  ibrav = 0, nat = 8, ntyp = 4
/
ATOMIC_SPECIES
O 16.00 O.upf
Zr 91.22 Zr.upf
As 74.92 As.upf
Ac 227.00 Ac.upf
ATOMIC_POSITIONS crystal
O 0.2500 0.7500 0.0000
O 0.7500 0.2500 0.0000
Zr 0.2500 0.2500 0.0163
Zr 0.7500 0.7500 0.9837
As 0.7500 0.7500 0.2666
As 0.2500 0.2500 0.7334
Ac 0.2500 0.7500 0.5000
Ac 0.7500 0.2500 0.5000
CELL_PARAMETERS angstrom
4.5358 0.0000 0.0000
0.0000 4.5358 0.0000
0.0000 0.0000 9.2249



! HgTePO PBE relaxed; values from VASP
! raw total energy	-3.443	eV/atom
! ρ	7.22	g/cm3
&SYSTEM
  ibrav = 0, nat = 8, ntyp = 4
/
ATOMIC_SPECIES
Hg 200.59 Hg.upf
P 30.97 P.upf
O 16.00 O.upf
Te 127.60 Te.upf
ATOMIC_POSITIONS crystal
Hg 0.0000 0.3351 0.9820
Hg 0.0000 0.6649 0.4820
P 0.5000 0.8158 0.3807
P 0.5000 0.1842 0.8807
O 0.0000 0.7008 0.9294
O 0.0000 0.2992 0.4294
Te 0.5000 0.7521 0.9619
Te 0.5000 0.2479 0.4619
CELL_PARAMETERS angstrom
4.3656 0.0000 0.0000
0.0000 6.7851 0.0000
0.0000 0.0000 5.8242



! Lu2Ta4Pb3C3 PBE relaxed; values from VASP
! raw total energy	-8.279	eV/atom
! ρ	13.46	g/cm3
&SYSTEM
  ibrav = 0, nat = 24, ntyp = 4
/
ATOMIC_SPECIES
C 12.01 C.upf
Ta 180.95 Ta.upf
Pb 207.20 Pb.upf
Lu 174.97 Lu.upf
ATOMIC_POSITIONS crystal
C 0.0000 0.5000 0.0000
C 0.3263 0.8486 0.9998
C 0.1514 0.6737 0.5002
C 0.8486 0.3263 0.4998
C 0.5000 0.0000 0.5000
C 0.6737 0.1514 0.0002
Ta 0.3060 0.1522 0.9266
Ta 0.2022 0.0166 0.5733
Ta 0.6940 0.8478 0.0734
Ta 0.7978 0.9834 0.4267
Ta 0.8478 0.6940 0.5734
Ta 0.0166 0.2022 0.0733
Ta 0.1522 0.3060 0.4266
Ta 0.9834 0.7978 0.9267
Pb 0.5851 0.7779 0.7534
Pb 0.2221 0.4149 0.7466
Pb 0.4149 0.2221 0.2466
Pb 0.0576 0.9424 0.2500
Pb 0.9424 0.0576 0.7500
Pb 0.7779 0.5851 0.2534
Lu 0.5326 0.3760 0.5929
Lu 0.4674 0.6240 0.4071
Lu 0.3760 0.5326 0.0929
Lu 0.6240 0.4674 0.9071
CELL_PARAMETERS angstrom
-5.8187 -0.2513 0.4192
-2.4983 -3.4875 3.9613
3.0935 12.0790 8.1356